1.
DFT (PBE) results for SiPbS3 after structural relaxation.

## Properties
- magnetization (μB/atom) = 0.00
- Fermi-level density of states (states/eV/cell) = 3.23
- ΔE to the lowest computed polymorph (meV/atom) = 1437.2
- symmetry = Pm-3m (221)
- calculated volume (Å³/cell) = 133.38
- raw total energy (eV per cell) = -17.056

Cell lengths 5.109, 5.109, 5.109 Å; angles 90.00, 90.00, 90.00 degrees
Element x y z (fractional)
Si 0.000 0.000 0.000
Pb 0.500 0.500 0.500
S 0.000 0.500 0.500
S 0.500 0.000 0.500
S 0.500 0.500 0.000

2.
DFT (PBE) results for P2PtAu after structural relaxation.

## Properties
- magnetization (μB/atom) = 0.00
- Fermi-level density of states (states/eV/cell) = 3.40
- ΔE to the lowest computed polymorph (meV/atom) = 735.4
- symmetry = F-43m (216)
- calculated volume (Å³/cell) = 65.20
- calculated formation energy (eV/atom) = 0.540
- raw total energy (eV per cell) = -17.978

Cell lengths 4.518, 4.518, 4.518 Å; angles 60.00, 60.00, 60.00 degrees
Element x y z (fractional)
P 0.000 0.000 0.000
P 0.250 0.250 0.250
Pt 0.750 0.750 0.750
Au 0.500 0.500 0.500

3.
DFT (PBE) results for CsBi2CF after structural relaxation.

## Properties
- magnetization (μB/atom) = 0.20
- Fermi-level density of states (states/eV/cell) = 3.22
- symmetry = P4/mmm (123)
- calculated volume (Å³/cell) = 154.97
- raw total energy (eV per cell) = -15.916

Cell lengths 4.987, 4.987, 6.231 Å; angles 90.00, 90.00, 90.00 degrees
Element x y z (fractional)
Cs 0.000 0.000 0.000
Bi 0.000 0.500 0.500
Bi 0.500 0.000 0.500
C 0.500 0.500 0.000
F 0.000 0.000 0.500

4.
DFT (PBE) results for YU3S6 after structural relaxation.

## Properties
- magnetization (μB/atom) = 0.84
- Fermi-level density of states (states/eV/cell) = 30.24
- symmetry = P2_1/m (11)
- calculated volume (Å³/cell) = 457.30
- raw total energy (eV per cell) = -160.499

Cell lengths 10.920, 3.873, 11.365 Å; angles 90.00, 107.92, 90.00 degrees
Element x y z (fractional)
Y 0.045 0.250 0.191
Y 0.955 0.750 0.809
U 0.156 0.250 0.578
U 0.318 0.750 0.000
U 0.429 0.250 0.332
U 0.571 0.750 0.668
U 0.682 0.250 0.000
U 0.844 0.750 0.422
S 0.083 0.750 0.398
S 0.116 0.250 0.964
S 0.193 0.750 0.750
S 0.253 0.750 0.222
S 0.397 0.250 0.561
S 0.489 0.250 0.120
S 0.511 0.750 0.880
S 0.603 0.750 0.439
S 0.747 0.250 0.778
S 0.807 0.250 0.250
S 0.884 0.750 0.036
S 0.917 0.250 0.602